# LaCoPO | OQMD | PBE+U | relaxed
# V = 20.6 A^3/atom
# Electronic total energy = -0.478 Ry/atom
# Space-group type = No. 26
data_LaCoPO
_chemical_formula_sum 'La2 Co2 P2 O2'
_cell_length_a 4.351
_cell_length_b 6.325
_cell_length_c 5.991
_cell_angle_alpha 90.00
_cell_angle_beta 90.00
_cell_angle_gamma 90.00
_symmetry_space_group_name_H-M 'P 1'
_symmetry_Int_Tables_number 1
loop_
_symmetry_equiv_pos_as_xyz
'x,y,z'
loop_
_atom_site_label
_atom_site_type_symbol
_atom_site_fract_x
_atom_site_fract_y
_atom_site_fract_z
La1 La 0.000 0.242 0.000
La2 La 0.000 0.758 0.500
Co1 Co 0.500 0.355 0.598
Co2 Co 0.500 0.645 0.098
P1 P 0.000 0.229 0.504
P2 P 0.000 0.771 0.004
O1 O 0.500 0.363 0.946
O2 O 0.500 0.637 0.446